A plane-wave DFT calculation with GGA+U was carried out for a relaxed structure of Cs4Rb2ZnCoO5.

```
Cs4Rb2ZnCoO5
1.0
2.316 5.783 3.363
-3.005 -5.061 3.933
6.429 -3.138 0.312
Cs Rb O Zn Co
4 2 5 1 1
direct
0.560 0.143 0.818
0.991 0.991 0.618
0.705 0.705 0.023
0.143 0.560 0.818
0.119 0.583 0.313
0.583 0.119 0.313
0.184 0.908 0.058
0.783 0.514 0.574
0.395 0.395 0.267
0.908 0.184 0.058
0.514 0.783 0.574
0.156 0.156 0.131
0.564 0.564 0.490
```

Values from the calculation:
The symmetry is Cm, No. 8. The distance to the lowest polymorph of the same formula is 0.073 eV per atom.